# 1
Compound: SmNi4Pd8
Source: the Alexandria database
Functional: GGA-PBE
Structure: relaxed

Unit cell a=6.758 b=6.758 c=6.758 alpha=97.93 beta=97.93 gamma=136.39
Element x y z (fractional)
Sm 0.000 0.000 0.000
Ni 0.000 0.000 0.500
Ni 0.000 0.500 0.000
Ni 0.500 0.000 0.000
Ni 0.500 0.500 0.500
Pd 0.000 0.346 0.346
Pd 0.000 0.654 0.654
Pd 0.281 0.500 0.781
Pd 0.346 0.000 0.346
Pd 0.500 0.281 0.781
Pd 0.500 0.719 0.219
Pd 0.654 0.000 0.654
Pd 0.719 0.500 0.219

Properties
Magnetization in μB/f.u.: 4.22
Uncorrected energy in eV per cell: -72.483


# 2
Compound: TbSmNiPd
Source: the Alexandria database
Functional: GGA-PBE
Structure: relaxed

Unit cell a=4.432 b=3.825 c=10.439 alpha=90.00 beta=90.00 gamma=90.00
Element x y z (fractional)
Tb 0.000 0.000 0.000
Tb 0.000 0.500 0.500
Sm 0.500 0.000 0.278
Sm 0.500 0.500 0.778
Ni 0.500 0.000 0.556
Ni 0.500 0.500 0.056
Pd 0.000 0.000 0.715
Pd 0.000 0.500 0.215

Properties
Magnetization in μB/f.u.: 0.00
Uncorrected energy in eV per cell: -45.622


# 3
Compound: SmTmNiPd
Source: the Alexandria database
Functional: GGA-PBE
Structure: relaxed

Unit cell a=4.432 b=3.785 c=10.290 alpha=90.00 beta=90.00 gamma=90.00
Element x y z (fractional)
Sm 0.000 0.000 0.000
Sm 0.000 0.500 0.500
Tm 0.500 0.000 0.279
Tm 0.500 0.500 0.779
Ni 0.000 0.000 0.724
Ni 0.000 0.500 0.224
Pd 0.500 0.000 0.565
Pd 0.500 0.500 0.065

Properties
Magnetization in μB/f.u.: 0.00
Uncorrected energy in eV per cell: -45.468


# 4
Compound: SmYNiPd
Source: the Alexandria database
Functional: GGA-PBE
Structure: relaxed

Unit cell a=4.430 b=3.831 c=10.434 alpha=90.00 beta=90.00 gamma=90.00
Element x y z (fractional)
Sm 0.000 0.000 0.000
Sm 0.000 0.500 0.500
Y 0.500 0.000 0.722
Y 0.500 0.500 0.222
Ni 0.000 0.000 0.279
Ni 0.000 0.500 0.779
Pd 0.500 0.000 0.436
Pd 0.500 0.500 0.936

Properties
Magnetization in μB/f.u.: 0.00
Uncorrected energy in eV per cell: -49.274


# 5
Compound: SmZnNiPd
Source: the Alexandria database
Functional: GGA-PBE
Structure: relaxed

Unit cell a=7.427 b=4.295 c=5.297 alpha=90.00 beta=117.97 gamma=90.00
Element x y z (fractional)
Sm 0.000 0.000 0.000
Sm 0.500 0.500 0.000
Zn 0.488 0.000 0.465
Zn 0.988 0.500 0.465
Ni 0.295 0.500 0.384
Ni 0.795 0.000 0.384
Pd 0.210 0.000 0.629
Pd 0.710 0.500 0.629

Properties
Magnetization in μB/f.u.: 0.00
Offset from the most stable computed form in meV per atom: 0.0


# 6
Compound: Sm2Zn3Ni12Pd
Source: the Alexandria database
Functional: GGA-PBE
Structure: relaxed

Unit cell a=9.509 b=9.509 c=9.509 alpha=36.72 beta=36.72 gamma=36.72
Element x y z (fractional)
Sm 0.140 0.140 0.140
Sm 0.860 0.860 0.860
Zn 0.000 0.500 0.500
Zn 0.500 0.000 0.500
Zn 0.500 0.500 0.000
Ni 0.053 0.625 0.625
Ni 0.083 0.083 0.697
Ni 0.083 0.697 0.083
Ni 0.303 0.917 0.917
Ni 0.375 0.375 0.947
Ni 0.375 0.947 0.375
Ni 0.625 0.053 0.625
Ni 0.625 0.625 0.053
Ni 0.697 0.083 0.083
Ni 0.917 0.303 0.917
Ni 0.917 0.917 0.303
Ni 0.947 0.375 0.375
Pd 0.500 0.500 0.500

Properties
Magnetization in μB/f.u.: 0.00
Uncorrected energy in eV per cell: -85.835


Question: Which value of magnetization does entry 2 give?
Answer: 0.00 μB/f.u.